Here is an optimized crystal structure of Zn2Mo2Ru from Alexandria via LeMat-Bulk. Energies are from PBE.

Values from the calculation:
Magnetic moment   0.000 Bohr magnetons per cell
Symmetry   I4/mmm
ΔH_f (0 K)   2.8 eV per formula unit
DOS at the Fermi energy   4.01 states/eV per cell

POSCAR file:
```
Zn2Mo2Ru
1.0
-1.690 1.690 7.028
1.690 -1.690 7.028
1.690 1.690 -7.028
Zn Mo Ru
2 2 1
Cartesian
1.690 0.000 3.514 Zn
0.000 1.690 3.514 Zn
0.000 0.000 1.250 Mo
0.000 0.000 12.806 Mo
0.000 0.000 7.028 Ru
```

***

Here is an optimized crystal structure of Zn2MoRu from Alexandria via LeMat-Bulk. Energies are from PBE.

Values from the calculation:
Magnetic moment   0.000 Bohr magnetons per cell
Energy above the most stable polymorph in this dataset   608 meV/atom
Symmetry   I-42d
ΔH_f (0 K)   2.3 eV per formula unit
DOS at the Fermi energy   7.34 states/eV per cell

POSCAR file:
```
Zn2MoRu
1.0
-3.490 3.490 2.565
3.490 -3.490 2.565
3.490 3.490 -2.565
Zn Mo Ru
4 2 2
Cartesian
1.745 1.684 -0.641 Zn
1.806 -1.745 3.206 Zn
1.745 1.806 1.924 Zn
1.684 5.235 0.641 Zn
3.490 0.000 1.283 Mo
0.000 0.000 2.565 Mo
0.000 0.000 0.000 Ru
0.000 3.490 1.283 Ru
```

***

Here is an optimized crystal structure of ZnMo2Ru from Alexandria via LeMat-Bulk. Energies are from PBE.

Values from the calculation:
Magnetic moment   0.000 Bohr magnetons per cell
Symmetry   Imm2
ΔH_f (0 K)   0.6 eV per formula unit
DOS at the Fermi energy   3.59 states/eV per cell

POSCAR file:
```
ZnMo2Ru
1.0
-1.567 2.216 4.349
1.567 -2.216 4.349
1.567 2.216 -4.349
Zn Mo Ru
1 2 1
Cartesian
0.000 0.000 0.000 Zn
1.567 0.000 2.314 Mo
0.000 0.000 4.348 Mo
0.000 2.216 2.123 Ru
```

***

Here is an optimized crystal structure of ZnMo2Ru from Alexandria via LeMat-Bulk. Energies are from PBE.

Values from the calculation:
Magnetic moment   0.000 Bohr magnetons per cell
Symmetry   P4mm
ΔH_f (0 K)   0.5 eV per formula unit
DOS at the Fermi energy   4.16 states/eV per cell

POSCAR file:
```
ZnMo2Ru
1.0
3.207 0.000 0.000
0.000 3.207 0.000
0.000 0.000 5.819
Zn Mo Ru
1 2 1
Cartesian
0.000 0.000 0.000 Zn
0.000 0.000 2.909 Mo
1.603 1.603 1.485 Mo
1.603 1.603 4.499 Ru
```

***

Here is an optimized crystal structure of ZnMo2Ru from Alexandria via LeMat-Bulk. Energies are from PBE.

Values from the calculation:
Magnetic moment   0.815 Bohr magnetons per cell
Symmetry   Cmm2
ΔH_f (0 K)   0.6 eV per formula unit
DOS at the Fermi energy   3.68 states/eV per cell

POSCAR file:
```
ZnMo2Ru
1.0
1.579 -2.202 0.000
1.579 2.202 0.000
0.000 0.000 8.736
Zn Mo Ru
1 2 1
Cartesian
0.000 0.000 0.000 Zn
0.000 0.000 4.272 Mo
1.579 0.000 6.500 Mo
1.579 0.000 2.140 Ru
```

***

Here is an optimized crystal structure of ZnMo2Ru2 from Alexandria via LeMat-Bulk. Energies are from PBE.

Values from the calculation:
Magnetic moment   0.000 Bohr magnetons per cell
Energy above the most stable polymorph in this dataset   0 meV/atom
Symmetry   P4/mbm
ΔH_f (0 K)   0.8 eV per formula unit
DOS at the Fermi energy   5.22 states/eV per cell

POSCAR file:
```
ZnMo2Ru2
1.0
7.461 0.000 0.000
0.000 7.461 0.000
0.000 0.000 2.842
Zn Mo Ru
2 4 4
Cartesian
0.000 0.000 0.000 Zn
3.731 3.731 0.000 Zn
1.226 2.504 1.421 Mo
2.504 6.235 1.421 Mo
4.957 1.226 1.421 Mo
6.235 4.957 1.421 Mo
0.971 4.701 0.000 Ru
2.760 0.971 0.000 Ru
4.701 6.490 0.000 Ru
6.490 2.760 0.000 Ru
```